Record 1
DFT (GGA-PBE) results for Sc3ZnC after structural relaxation.

```
data_Sc3ZnC
_symmetry_space_group_name_H-M 'P 1'
_symmetry_Int_Tables_number 1
_symmetry_space_group_name_Hall 'P 1'
_cell_length_a 6.004
_cell_length_b 6.004
_cell_length_c 7.004
_cell_angle_alpha 90.00
_cell_angle_beta 90.00
_cell_angle_gamma 134.64
loop_
_atom_site_label
_atom_site_fract_x
_atom_site_fract_y
_atom_site_fract_z
_atom_site_occupancy
Sc1 0.051 0.949 0.750 1
Sc2 0.367 0.633 0.528 1
Sc3 0.367 0.633 0.972 1
Sc4 0.633 0.367 0.028 1
Sc5 0.633 0.367 0.472 1
Sc6 0.949 0.051 0.250 1
Zn1 0.198 0.802 0.250 1
Zn2 0.802 0.198 0.750 1
C1 0.479 0.521 0.250 1
C2 0.521 0.479 0.750 1
```

E = -6.224 eV/atom
Energy relative to the elements = -0.325 eV/atom
Size of the total moment = 0.00 μB/cell

=====

Record 2
DFT (GGA-PBE) results for Tb2Tm6Zr after structural relaxation.

```
data_Tb2Tm6Zr
_symmetry_space_group_name_H-M 'P 1'
_symmetry_Int_Tables_number 1
_symmetry_space_group_name_Hall 'P 1'
_cell_length_a 3.503
_cell_length_b 3.503
_cell_length_c 25.488
_cell_angle_alpha 90.00
_cell_angle_beta 90.00
_cell_angle_gamma 120.00
loop_
_atom_site_label
_atom_site_fract_x
_atom_site_fract_y
_atom_site_fract_z
_atom_site_occupancy
Tb1 0.000 0.000 0.176 1
Tb2 0.000 0.000 0.824 1
Tm1 0.000 0.000 0.399 1
Tm2 0.000 0.000 0.601 1
Tm3 0.667 0.333 0.065 1
Tm4 0.667 0.333 0.288 1
Tm5 0.667 0.333 0.712 1
Tm6 0.667 0.333 0.935 1
Zr1 0.667 0.333 0.500 1
```

E = -4.891 eV/atom
Energy relative to the elements = 0.069 eV/atom
Size of the total moment = 1.61 μB/cell

=====

Record 3
DFT (GGA-PBE) results for BaTcGeF2 after structural relaxation.

```
data_BaTcGeF2
_symmetry_space_group_name_H-M 'P 1'
_symmetry_Int_Tables_number 1
_symmetry_space_group_name_Hall 'P 1'
_cell_length_a 4.708
_cell_length_b 4.708
_cell_length_c 7.723
_cell_angle_alpha 90.00
_cell_angle_beta 90.00
_cell_angle_gamma 90.00
loop_
_atom_site_label
_atom_site_fract_x
_atom_site_fract_y
_atom_site_fract_z
_atom_site_occupancy
Ba1 0.000 0.000 0.000 1
Tc1 0.500 0.500 0.500 1
Ge1 0.000 0.000 0.500 1
F1 0.000 0.500 0.000 1
F2 0.500 0.000 0.000 1
```

E = -4.869 eV/atom
E_form (uncorrected) = -357 kJ/mol of formula units
Size of the total moment = 3.14 μB/cell

=====

Record 4
DFT (GGA-PBE) results for Sr2ScZn after structural relaxation.

```
data_Sr2ScZn
_symmetry_space_group_name_H-M 'P 1'
_symmetry_Int_Tables_number 1
_symmetry_space_group_name_Hall 'P 1'
_cell_length_a 6.889
_cell_length_b 6.889
_cell_length_c 6.889
_cell_angle_alpha 146.12
_cell_angle_beta 132.98
_cell_angle_gamma 59.21
loop_
_atom_site_label
_atom_site_fract_x
_atom_site_fract_y
_atom_site_fract_z
_atom_site_occupancy
Sr1 0.202 0.202 0.000 1
Sr2 0.798 0.798 0.000 1
Sc1 0.500 0.000 0.500 1
Zn1 0.000 0.500 0.500 1
```

E = -2.505 eV/atom
Energy relative to the elements = 0.237 eV/atom
Size of the total moment = 0.01 μB/cell